[1]
4
Lattice="0.0000 3.0721 3.0721 3.0721 0.0000 3.0721 3.0721 3.0721 0.0000" Properties=species:S:1:pos:R:3 comment="LiGeAsOs, relaxed, DFT PBE" e_above_lowest_polymorph_mev_per_atom=0 pbc="T T T"
As 3.0721 3.0721 3.0721
Li 4.6081 4.6081 4.6081
Os 1.5360 1.5360 1.5360
Ge 0.0000 0.0000 0.0000

[2]
4
Lattice="-2.9494 -1.4066 2.9579 -0.4087 2.0790 3.8649 -3.5976 2.4038 0.8397" Properties=species:S:1:pos:R:3 comment="LiGeAsOs, relaxed, DFT PBE" e_above_lowest_polymorph_mev_per_atom=453 pbc="T T T"
As 0.0000 0.0000 0.0000
Li -5.2168 2.3071 5.7469
Ge -1.7389 0.7690 1.9156
Os -3.4779 1.5381 3.8313

[3]
4
Lattice="-0.8755 -1.4051 4.6194 -1.5050 3.2849 3.3202 -4.6053 -0.1507 1.6877" Properties=species:S:1:pos:R:3 comment="LuGe2As, relaxed, DFT PBE" energy_ev_per_atom=-4.770 pbc="T T T"
Lu -1.7464 0.4323 2.4068
Ge 0.0000 0.0000 0.0000
Ge -5.2393 1.2968 7.2205
As -3.4929 0.8646 4.8137

[4]
3
Lattice="-3.6058 -2.0019 2.2233 -2.7763 2.5785 2.7561 -4.3912 0.9499 -1.3295" Properties=species:S:1:pos:R:3 comment="LuGeAs, relaxed, DFT PBE" e_above_lowest_polymorph_mev_per_atom=0 pbc="T T T"
As 0.0000 0.0000 0.0000
Lu -8.0800 1.1449 2.7374
Ge -2.6933 0.3816 0.9125

[5]
8
Lattice="-3.2229 1.2870 0.2256 1.6117 -1.1629 2.8539 5.0377 12.2401 2.1425" Properties=species:S:1:pos:R:3 comment="Lu4GeAsN2, relaxed, DFT PBE" energy_ev_per_atom=-6.808 pbc="T T T"
Lu 2.6826 10.9033 2.9279
Lu 3.3214 8.0700 1.4126
Lu 1.7163 4.1701 0.7299
Lu -0.8676 2.2775 1.4180
N 3.8068 8.9027 3.5967
N 1.2312 2.6449 2.5013
As 0.0000 0.0000 0.0000
Ge 0.9075 6.5904 2.1730

[6]
8
Lattice="3.4777 0.0000 0.0000 -1.7389 3.0118 0.0000 0.0000 0.0000 13.4084" Properties=species:S:1:pos:R:3 comment="Lu4GeAsN2, relaxed, DFT PBE" energy_ev_per_atom=-6.808 pbc="T T T"
Ge 1.7389 1.0039 0.0000
N 0.0000 0.0000 3.4278
N 0.0000 0.0000 9.9806
Lu 0.0000 2.0079 11.2722
Lu 1.7389 1.0039 4.7247
Lu 1.7389 1.0039 8.6837
Lu 0.0000 2.0079 2.1362
As 0.0000 2.0079 6.7042

[7]
4
Lattice="0.0000 3.2230 3.2230 3.2230 0.0000 3.2230 3.2230 3.2230 0.0000" Properties=species:S:1:pos:R:3 comment="MgTcGeAs, relaxed, DFT PBE" e_above_lowest_polymorph_mev_per_atom=329 pbc="T T T"
As 0.0000 0.0000 0.0000
Tc 3.2230 3.2230 3.2230
Ge 1.6115 1.6115 1.6115
Mg 4.8345 4.8345 4.8345

[8]
4
Lattice="0.0000 3.1744 3.1744 3.1744 0.0000 3.1744 3.1744 3.1744 0.0000" Properties=species:S:1:pos:R:3 comment="MgTcGeAs, relaxed, DFT PBE" e_above_lowest_polymorph_mev_per_atom=0 pbc="T T T"
Mg 4.7616 4.7616 4.7616
Ge 0.0000 0.0000 0.0000
As 3.1744 3.1744 3.1744
Tc 1.5872 1.5872 1.5872

[9]
12
Lattice="6.7030 0.0000 0.0000 0.0000 3.3536 0.0000 0.0000 0.0000 8.4705" Properties=species:S:1:pos:R:3 comment="GeMoAs, relaxed, DFT PBE" e_above_lowest_polymorph_mev_per_atom=0 pbc="T T T"
Ge 5.8875 0.8384 7.7497
Ge 2.5360 0.8384 4.9560
Ge 4.1670 2.5152 3.5144
Ge 0.8155 2.5152 0.7208
Mo 2.5138 0.8384 2.1073
Mo 0.8377 2.5152 6.3425
Mo 5.8653 0.8384 2.1279
Mo 4.1892 2.5152 6.3631
As 4.2246 2.5152 0.7851
As 0.8731 2.5152 3.4501
As 5.8299 0.8384 5.0203
As 2.4784 0.8384 7.6854

[10]
5
Lattice="1.1449 -0.9670 6.9938 3.7185 2.9185 5.3680 -4.3385 0.5034 -5.6642" Properties=species:S:1:pos:R:3 comment="Ge2Mo2As, relaxed, DFT PBE" e_above_lowest_polymorph_mev_per_atom=0 pbc="T T T"
Ge 0.9058 2.1988 2.9423
Ge -0.3810 0.2561 3.7552
As 0.0000 0.0000 0.0000
Mo 2.9363 1.1783 7.4637
Mo 1.9270 0.7732 4.8981

[11]
5
Lattice="-0.0398 -5.2234 -1.5761 -0.1448 -3.0970 4.4897 -3.1208 4.2063 -1.5286" Properties=species:S:1:pos:R:3 comment="GeMo2As2, relaxed, DFT PBE" e_above_lowest_polymorph_mev_per_atom=0 pbc="T T T"
As -0.0673 -3.0317 1.0616
As -0.1174 -5.2887 1.8520
Ge 0.0000 0.0000 0.0000
Mo -1.6790 -1.5254 2.2089
Mo -1.6265 -2.5886 -0.8239

[12]
5
Lattice="-4.3890 4.0601 3.5404 -6.8209 0.0899 1.3228 5.9964 -3.4964 -0.3162" Properties=species:S:1:pos:R:3 comment="GeMo2As2, relaxed, DFT PBE" e_above_lowest_polymorph_mev_per_atom=19 pbc="T T T"
As -3.2147 -0.6657 1.7191
As -1.9987 1.3193 2.8279
Mo -6.8238 2.5262 2.9604
Mo -4.3860 1.6238 1.9028
Ge 0.0000 0.0000 0.0000